Entry 1:
The following is a DFT calculation (PBE) of a geometry-optimized Tl5In2Sn2 structure.

## Properties
* space group: C2/m, No. 12
* energy of formation: 0.051 eV per atom
* E_tot: -24.9 eV/cell
* spin magnetization: 0.00 μB/cell

a = 5.9907 Å, b = 5.9907 Å, c = 9.7866 Å
α = 97.48°, β = 97.48°, γ = 52.16°
With the nearest neighbours (Å) after each atom.
Atoms (fractional coordinates):
Tl  0.0000  0.0000  0.0000  6 In 3.30-3.57, 6 Tl 3.41-3.54
Tl  0.0704  0.0704  0.6713  4 Sn 3.38-3.46, 5 Tl 3.41-3.50, 2 In 3.60
Tl  0.3903  0.3903  0.7730  4 In 3.33-3.72, 3 Sn 3.40-3.66, 5 Tl 3.44-3.54
Tl  0.6097  0.6097  0.2270  4 In 3.33-3.72, 3 Sn 3.40-3.66, 5 Tl 3.44-3.54
Tl  0.9296  0.9296  0.3287  4 Sn 3.38-3.46, 5 Tl 3.41-3.50, 2 In 3.60
In  0.3064  0.3064  0.0967  1 Sn 3.24, 7 Tl 3.30-3.60, 2 In 3.37
In  0.6936  0.6936  0.9033  1 Sn 3.24, 7 Tl 3.30-3.60, 2 In 3.37
Sn  0.2457  0.2457  0.4112  2 Sn 3.15, 1 In 3.24, 6 Tl 3.38-3.46
Sn  0.7543  0.7543  0.5888  2 Sn 3.15, 1 In 3.24, 6 Tl 3.38-3.46

Entry 2:
The following is a DFT calculation (PBE) of a geometry-optimized TbNdCuGe structure.

## Properties
* space group: F-43m, No. 216
* energy of formation: -0.471 eV per atom
* E_tot: -80.0 eV/cell
* spin magnetization: 0.00 μB/cell

a = 7.1732 Å, b = 7.1732 Å, c = 7.1732 Å
α = 90.00°, β = 90.00°, γ = 90.00°
With the nearest neighbours (Å) after each atom.
Atoms (fractional coordinates):
Tb  0.0000  0.0000  0.0000  4 Cu 3.11, 4 Ge 3.11
Tb  0.0000  0.5000  0.5000  4 Cu 3.11, 4 Ge 3.11
Tb  0.5000  0.0000  0.5000  4 Cu 3.11, 4 Ge 3.11
Tb  0.5000  0.5000  0.0000  4 Cu 3.11, 4 Ge 3.11
Nd  0.0000  0.0000  0.5000  4 Ge 3.11, 4 Cu 3.11
Nd  0.0000  0.5000  0.0000  4 Ge 3.11, 4 Cu 3.11
Nd  0.5000  0.0000  0.0000  4 Ge 3.11, 4 Cu 3.11
Nd  0.5000  0.5000  0.5000  4 Ge 3.11, 4 Cu 3.11
Cu  0.2500  0.2500  0.2500  4 Nd 3.11, 4 Tb 3.11
Cu  0.2500  0.7500  0.7500  4 Tb 3.11, 4 Nd 3.11
Cu  0.7500  0.2500  0.7500  4 Tb 3.11, 4 Nd 3.11
Cu  0.7500  0.7500  0.2500  4 Tb 3.11, 4 Nd 3.11
Ge  0.2500  0.2500  0.7500  4 Tb 3.11, 4 Nd 3.11
Ge  0.2500  0.7500  0.2500  4 Tb 3.11, 4 Nd 3.11
Ge  0.7500  0.2500  0.2500  4 Tb 3.11, 4 Nd 3.11
Ge  0.7500  0.7500  0.7500  4 Tb 3.11, 4 Nd 3.11

Entry 3:
The following is a DFT calculation (PBE) of a geometry-optimized NaCoB2 structure.

## Properties
* space group: I4_1/amd, No. 141
* energy of formation: 0.444 eV per atom
* E_tot: -80.0 eV/cell
* E above lowest polymorph: 0 meV/atom
* spin magnetization: 0.00 μB/cell

a = 4.2628 Å, b = 4.2628 Å, c = 12.2198 Å
α = 90.00°, β = 90.00°, γ = 90.00°
With the nearest neighbours (Å) after each atom.
Atoms (fractional coordinates):
Na  0.0000  0.2500  0.3750  8 B 2.83, 4 Co 3.01
Na  0.0000  0.7500  0.6250  8 B 2.83, 4 Co 3.01
Na  0.5000  0.2500  0.1250  8 B 2.83, 4 Co 3.01
Na  0.5000  0.7500  0.8750  8 B 2.83, 4 Co 3.01
Co  0.0000  0.2500  0.8750  4 B 1.86
Co  0.0000  0.7500  0.1250  4 B 1.86
Co  0.5000  0.2500  0.6250  4 B 1.86
Co  0.5000  0.7500  0.3750  4 B 1.86
B  0.0000  0.0000  0.0000  2 Co 1.86
B  0.0000  0.5000  0.0000  2 Co 1.86
B  0.2500  0.2500  0.7500  2 Co 1.86
B  0.2500  0.7500  0.2500  2 Co 1.86
B  0.5000  0.0000  0.5000  2 Co 1.86
B  0.5000  0.5000  0.5000  2 Co 1.86
B  0.7500  0.2500  0.7500  2 Co 1.86
B  0.7500  0.7500  0.2500  2 Co 1.86

Entry 4:
The following is a DFT calculation (PBE) of a geometry-optimized Lu3TlCo structure.

## Properties
* space group: Pm-3m, No. 221
* energy of formation: -0.150 eV per atom
* E_tot: -23.8 eV/cell
* spin magnetization: 0.00 μB/cell

a = 5.0571 Å, b = 5.0571 Å, c = 5.0571 Å
α = 90.00°, β = 90.00°, γ = 90.00°
With the nearest neighbours (Å) after each atom.
Atoms (fractional coordinates):
Lu  0.0000  0.0000  0.5000  2 Co 2.53
Lu  0.0000  0.5000  0.0000  2 Co 2.53
Lu  0.5000  0.0000  0.0000  2 Co 2.53
Tl  0.5000  0.5000  0.5000  12 Lu 3.58
Co  0.0000  0.0000  0.0000  6 Lu 2.53